(1)
Computed, not measured: a relaxed structure of Sc2PbBr at the GGA-PBE level of DFT.

```
Sc2PbBr
1.0
-1.934 -4.750 3.324
1.599 -4.808 3.418
-0.058 2.748 3.878
Br Pb Sc
1 1 2
Direct
0.493 0.493 0.374
0.733 0.733 0.876
0.004 0.004 0.874
0.270 0.270 0.376
```

crystal system = monoclinic
E above lowest polymorph = 74.8 meV/atom
symmetry = No. 8
E = -20.17 eV/cell


(2)
Computed, not measured: a relaxed structure of Rb2SnHF6 at the GGA-PBE level of DFT.

```
Rb2SnHF6
1.0
6.412 0.000 0.000
0.000 6.412 0.000
3.206 3.206 4.554
H Sn Rb F
1 1 2 6
Direct
0.500 0.500 0.000
0.000 0.000 0.000
0.750 0.250 0.500
0.250 0.750 0.500
0.220 0.220 0.560
0.780 0.780 0.440
0.221 0.221 0.000
0.779 0.779 0.000
0.779 0.221 0.000
0.221 0.779 0.000
```

crystal system = tetragonal
symmetry = No. 139
E = -42.80 eV/cell


(3)
Computed, not measured: a relaxed structure of BaHgSe2 at the GGA-PBE level of DFT.

```
BaHgSe2
1.0
-2.574 -1.744 -5.714
0.774 -4.160 0.921
-15.852 -1.284 7.534
Hg Se Ba
4 8 4
Direct
0.250 0.250 0.325
0.250 0.750 0.825
0.750 0.750 0.675
0.750 0.250 0.175
0.750 0.250 0.550
0.750 0.750 0.050
0.250 0.750 0.450
0.250 0.250 0.950
0.500 0.250 0.750
0.000 0.750 0.250
0.500 0.750 0.250
0.000 0.250 0.750
0.250 0.250 0.582
0.250 0.750 0.082
0.750 0.750 0.418
0.750 0.250 0.918
```

crystal system = orthorhombic
symmetry = No. 63
E = -50.70 eV/cell


(4)
Computed, not measured: a relaxed structure of CaCoMo2 at the GGA-PBE level of DFT.

```
CaCoMo2
1.0
-4.179 -0.369 1.551
-2.446 3.673 0.734
-3.466 0.948 -2.664
Mo Co Ca
2 1 1
Direct
0.250 0.250 0.250
0.750 0.750 0.750
0.500 0.500 0.500
0.000 0.000 0.000
```

crystal system = cubic
E above lowest polymorph = 557.4 meV/atom
symmetry = No. 225
E = -26.84 eV/cell
DFT formation energy = 982 meV per atom


(5)
Computed, not measured: a relaxed structure of TiCdAs2Se at the GGA-PBE level of DFT.

```
TiCdAs2Se
1.0
4.962 0.000 0.000
0.000 4.962 0.000
0.000 0.000 4.901
As Ti Se Cd
2 1 1 1
Direct
0.000 0.500 0.000
0.500 0.000 0.000
0.000 0.000 0.000
0.000 0.000 0.500
0.500 0.500 0.500
```

crystal system = tetragonal
E above lowest polymorph = 0.0 meV/atom
symmetry = No. 123
E = -21.69 eV/cell


(6)
Computed, not measured: a relaxed structure of NaH3Pd at the GGA-PBE level of DFT.

```
NaH3Pd
1.0
-4.701 -0.721 2.532
-1.506 -0.816 -3.026
0.595 -5.236 1.119
H Pd Na
6 2 2
Direct
0.621 0.366 0.443
0.693 0.365 0.009
0.128 0.365 0.444
0.127 0.364 0.937
0.555 0.365 0.870
0.883 0.865 0.199
0.348 0.365 0.664
0.900 0.365 0.216
0.869 0.865 0.698
0.382 0.865 0.184
```

crystal system = orthorhombic
E above lowest polymorph = 85.6 meV/atom
symmetry = No. 38
E = -34.92 eV/cell


(7)
Computed, not measured: a relaxed structure of Ti2AgBi at the GGA-PBE level of DFT.

```
Ti2AgBi
1.0
7.568 0.000 0.000
0.000 7.568 0.000
3.784 3.784 2.923
Bi Ag Ti
2 2 4
Direct
0.000 0.000 0.000
0.750 0.250 0.500
0.500 0.500 0.000
0.250 0.750 0.500
0.613 0.125 0.250
0.137 0.625 0.250
0.375 0.387 0.750
0.875 0.863 0.750
```

crystal system = tetragonal
symmetry = No. 122
E = -42.66 eV/cell
DFT formation energy = 298 meV per atom


(8)
Computed, not measured: a relaxed structure of AlV3Tc at the GGA-PBE level of DFT.

```
AlV3Tc
1.0
4.571 0.000 -0.958
0.000 4.811 0.000
-0.123 0.000 6.531
Al V Tc
2 6 2
Direct
0.010 0.750 0.158
0.990 0.250 0.842
0.774 0.750 0.747
0.500 0.500 0.000
0.500 0.000 0.000
0.226 0.250 0.253
0.443 0.250 0.632
0.557 0.750 0.368
0.816 0.250 0.419
0.184 0.750 0.581
```

crystal system = monoclinic
E above lowest polymorph = 0.0 meV/atom
symmetry = No. 11
E = -83.22 eV/cell
DFT formation energy = -29 meV per atom


(9)
Computed, not measured: a relaxed structure of TiZn2Pt8 at the GGA-PBE level of DFT.

```
TiZn2Pt8
1.0
3.831 0.000 -1.101
-0.620 5.860 -2.157
0.025 0.481 7.301
Ti Zn Pt
1 2 8
Direct
0.500 0.000 0.000
0.224 0.639 0.449
0.776 0.361 0.551
0.595 0.451 0.191
0.319 0.077 0.638
0.136 0.183 0.272
0.046 0.726 0.092
0.864 0.817 0.728
0.681 0.923 0.362
0.405 0.549 0.809
0.954 0.274 0.908
```

crystal system = monoclinic
symmetry = No. 12
E = -64.32 eV/cell
DFT formation energy = -505 meV per atom


(10)
Computed, not measured: a relaxed structure of Co2SiAg at the GGA-PBE level of DFT.

```
Co2SiAg
1.0
-0.881 3.872 1.648
-1.203 -2.595 3.210
2.548 0.129 1.059
Ag Co Si
1 2 1
Direct
0.000 0.500 0.500
0.000 0.000 0.000
0.500 0.500 0.000
0.500 0.000 0.500
```

crystal system = orthorhombic
symmetry = No. 65
E = -21.91 eV/cell


(11)
Computed, not measured: a relaxed structure of LaIn2Pd2 at the GGA-PBE level of DFT.

```
LaIn2Pd2
1.0
4.372 0.000 0.000
0.000 4.372 0.000
2.186 2.186 6.055
In Pd La
2 2 1
Direct
0.750 0.250 0.500
0.250 0.750 0.500
0.390 0.390 0.220
0.610 0.610 0.780
0.000 0.000 0.000
```

crystal system = tetragonal
symmetry = No. 139
E = -23.98 eV/cell
DFT formation energy = -638 meV per atom


(12)
Computed, not measured: a relaxed structure of LuIr2Pt at the GGA-PBE level of DFT.

```
LuIr2Pt
1.0
-0.211 -4.000 -0.455
0.957 -0.492 3.884
-3.909 0.095 0.975
Ir Lu Pt
2 1 1
Direct
0.000 0.000 0.500
0.000 0.500 0.000
0.500 0.500 0.500
0.500 0.000 0.000
```

crystal system = tetragonal
symmetry = No. 123
E = -30.96 eV/cell
DFT formation energy = -670 meV per atom


(13)
Computed, not measured: a relaxed structure of Ce3Nd2S8 at the GGA-PBE level of DFT.

```
Ce3Nd2S8
1.0
6.894 0.000 0.127
0.000 8.188 0.000
-2.633 -4.094 6.614
Ce Nd S
3 2 8
Direct
0.500 0.000 0.000
0.000 0.261 0.000
0.000 0.739 0.000
0.343 0.268 0.537
0.657 0.732 0.463
0.901 0.610 0.221
0.099 0.390 0.779
0.930 0.115 0.229
0.070 0.885 0.771
0.587 0.647 0.748
0.587 0.101 0.748
0.413 0.899 0.252
0.413 0.353 0.252
```

crystal system = monoclinic
E above lowest polymorph = 0.0 meV/atom
symmetry = No. 12
E = -85.24 eV/cell


(14)
Computed, not measured: a relaxed structure of Dy2HoEr2Mg5 at the GGA-PBE level of DFT.

```
Dy2HoEr2Mg5
1.0
-0.433 3.279 -3.808
-10.213 1.236 2.224
2.379 7.901 6.534
Dy Ho Er Mg
4 2 4 10
Direct
0.000 0.678 0.178
0.000 0.322 0.822
0.000 0.178 0.322
0.000 0.822 0.678
0.000 0.000 0.000
0.000 0.500 0.500
0.000 0.118 0.618
0.000 0.882 0.382
0.000 0.618 0.882
0.000 0.382 0.118
0.500 0.198 0.070
0.500 0.802 0.930
0.500 0.070 0.802
0.500 0.698 0.430
0.500 0.930 0.198
0.500 0.302 0.570
0.500 0.570 0.698
0.500 0.430 0.302
0.500 0.500 0.000
0.500 0.000 0.500
```

crystal system = tetragonal
symmetry = No. 127
E = -60.21 eV/cell
DFT formation energy = 78 meV per atom


(15)
Computed, not measured: a relaxed structure of LiNd2Ge3Au4 at the GGA-PBE level of DFT.

```
LiNd2Ge3Au4
1.0
-4.259 0.503 -0.880
-0.925 -0.374 4.262
1.023 10.687 1.160
Li Nd Ge Au
1 2 3 4
Direct
0.500 0.500 0.500
0.500 0.000 0.238
0.000 0.500 0.762
0.000 0.000 0.500
0.500 0.000 0.857
0.000 0.500 0.143
0.500 0.500 0.000
0.000 0.000 0.000
0.500 0.000 0.625
0.000 0.500 0.375
```

crystal system = tetragonal
symmetry = No. 115
E = -44.49 eV/cell
DFT formation energy = -608 meV per atom


(16)
Computed, not measured: a relaxed structure of LaTi2Ge2 at the GGA-PBE level of DFT.

```
LaTi2Ge2
1.0
-0.930 3.183 3.576
0.199 -3.614 3.269
4.221 0.522 3.958
Ge Ti La
2 2 1
Direct
0.750 0.250 0.500
0.250 0.750 0.500
0.341 0.341 0.318
0.659 0.659 0.682
0.000 0.000 0.000
```

crystal system = tetragonal
E above lowest polymorph = 119.7 meV/atom
symmetry = No. 139
E = -31.53 eV/cell
DFT formation energy = -316 meV per atom


(17)
Computed, not measured: a relaxed structure of ReHgW2 at the GGA-PBE level of DFT.

```
ReHgW2
1.0
4.996 -0.006 0.000
1.786 4.665 0.000
-3.391 -2.330 2.834
Hg Re W
1 1 2
Direct
0.250 0.750 0.500
0.750 0.250 0.500
0.000 0.000 0.000
0.500 0.500 0.000
```

crystal system = tetragonal
symmetry = No. 139
E = -36.04 eV/cell
DFT formation energy = 653 meV per atom


(18)
Computed, not measured: a relaxed structure of ErIn2Co at the GGA-PBE level of DFT.

```
ErIn2Co
1.0
5.566 0.000 0.000
0.000 7.870 0.000
0.000 0.000 15.060
Er In Co
8 16 8
Direct
0.465 0.250 0.138
0.965 0.750 0.362
0.535 0.750 0.862
0.035 0.250 0.638
0.743 0.250 0.397
0.243 0.750 0.103
0.257 0.750 0.603
0.757 0.250 0.897
0.979 0.050 0.215
0.479 0.950 0.285
0.021 0.550 0.785
0.521 0.450 0.715
0.021 0.950 0.785
0.521 0.050 0.715
0.979 0.450 0.215
0.479 0.550 0.285
0.751 0.551 0.039
0.251 0.449 0.461
0.249 0.051 0.961
0.749 0.949 0.539
0.249 0.449 0.961
0.749 0.551 0.539
0.751 0.949 0.039
0.251 0.051 0.461
0.257 0.250 0.314
0.757 0.750 0.186
0.743 0.750 0.686
0.243 0.250 0.814
0.977 0.250 0.070
0.477 0.750 0.430
0.023 0.750 0.930
0.523 0.250 0.570
```

crystal system = orthorhombic
symmetry = No. 62
E = -146.15 eV/cell
DFT formation energy = -281 meV per atom


(19)
Computed, not measured: a relaxed structure of Tb4TlCd5 at the GGA-PBE level of DFT.

```
Tb4TlCd5
1.0
-4.317 1.753 2.270
-3.615 -3.201 -4.402
3.179 -5.994 4.758
Tb Tl Cd
4 1 5
Direct
0.692 0.317 0.384
0.097 0.874 0.194
0.308 0.683 0.616
0.903 0.126 0.806
0.500 0.000 0.000
0.292 0.180 0.584
0.099 0.401 0.199
0.901 0.599 0.801
0.500 0.500 0.000
0.708 0.820 0.416
```

crystal system = monoclinic
symmetry = No. 12
E = -28.58 eV/cell
DFT formation energy = -311 meV per atom


(20)
Computed, not measured: a relaxed structure of KCaY at the GGA-PBE level of DFT.

```
KCaY
1.0
9.787 0.007 0.000
8.345 5.113 0.000
-9.066 -2.560 2.653
Ca K Y
1 1 1
Direct
0.982 0.982 0.000
0.671 0.671 0.000
0.347 0.347 0.000
```

crystal system = tetragonal
E above lowest polymorph = 29.8 meV/atom
symmetry = No. 107
E = -8.66 eV/cell
DFT formation energy = 300 meV per atom


(21)
Computed, not measured: a relaxed structure of Er8SbPb2 at the GGA-PBE level of DFT.

```
Er8SbPb2
1.0
-0.963 -4.322 -2.166
1.856 -3.331 5.823
-9.007 3.452 2.728
Er Sb Pb
8 1 2
Direct
0.407 0.510 0.813
0.657 0.025 0.315
0.784 0.655 0.568
0.982 0.245 0.963
0.216 0.345 0.432
0.343 0.975 0.685
0.593 0.490 0.187
0.018 0.755 0.037
0.500 0.000 0.000
0.819 0.223 0.638
0.181 0.777 0.362
```

crystal system = monoclinic
symmetry = No. 12
E = -51.51 eV/cell


(22)
Computed, not measured: a relaxed structure of Sn2PRuO at the GGA-PBE level of DFT.

```
Sn2PRuO
1.0
-0.484 -4.972 0.497
2.090 0.118 3.219
-4.184 0.676 2.691
Ru Sn O P
1 2 1 1
Direct
0.000 0.500 0.000
0.000 0.000 0.500
0.500 0.000 0.000
0.000 0.000 0.000
0.500 0.500 0.500
```

crystal system = tetragonal
symmetry = No. 123
E = -26.54 eV/cell


(23)
Computed, not measured: a relaxed structure of Ca2Zn2Te at the GGA-PBE level of DFT.

```
Ca2Zn2Te
1.0
5.681 0.000 0.000
0.000 5.681 0.000
2.840 2.840 4.460
Zn Te Ca
2 1 2
Direct
0.366 0.366 0.269
0.634 0.634 0.731
0.000 0.000 0.000
0.750 0.250 0.500
0.250 0.750 0.500
```

crystal system = tetragonal
E above lowest polymorph = 243.7 meV/atom
symmetry = No. 139
E = -10.91 eV/cell